Y2CuSi3Ni12: relaxed, PBE.

Lattice parameters (Å, degrees): 6.2526 6.2526 6.2526 84.72 84.72 84.72
Sites, in units of the cell vectors:
Ni  0.8137  0.2956  0.8137
Ni  0.1863  0.7044  0.1863
Si  0.5000  0.0000  0.0000
Ni  0.7044  0.1863  0.1863
Ni  0.2956  0.8137  0.8137
Y  0.3428  0.3428  0.3428
Si  0.0000  0.5000  0.0000
Ni  0.6138  0.6138  0.1010
Ni  0.1010  0.6138  0.6138
Si  0.0000  0.0000  0.5000
Ni  0.3862  0.3862  0.8990
Ni  0.8137  0.8137  0.2956
Ni  0.8990  0.3862  0.3862
Cu  0.0000  0.0000  0.0000
Y  0.6572  0.6572  0.6572
Ni  0.1863  0.1863  0.7044
Ni  0.3862  0.8990  0.3862
Ni  0.6138  0.1010  0.6138

Properties
Its density is 7.08 g cm⁻³. The value obtained for the density of states at the Fermi level is 12.44 states/eV/cell. Its uncorrected formation energy is -0.13 eV per atom. The calculation puts the total magnetization at 0.0 μB per formula unit.